A geometry-optimized KNaSbTe2 structure, computed with GGA-PBE.

Energy relative to the elements, uncorrected in eV per atom: -0.560
Volume in Å³ per cell: 350
Total energy in eV per cell: -31.2
Space-group type: P2/m (10)

Cell lengths 4.8464, 8.2480, 8.7563 Å; angles 90.09, 90.00, 90.00 degrees
Fractional coordinates of all 10 atoms:
Te  0.5000  0.2643  0.5004
Te  0.5000  0.7357  0.4996
Te  0.5000  0.7357  0.9996
Te  0.5000  0.2643  0.0004
K  0.9999  0.5000  0.2500
K  0.0001  0.5000  0.7500
Sb  0.5000  0.0000  0.2500
Sb  0.5000  0.0000  0.7500
Na  0.0000  0.0000  0.0000
Na  0.0000  0.0000  0.5000

=====

A geometry-optimized KNaSbTe2 structure, computed with GGA-PBE.

Energy relative to the elements, uncorrected in eV per atom: 0.046
Volume in Å³ per cell: 182
Total energy in eV per cell: -12.6
Space-group type: P4/mmm (123)

Cell lengths 5.7569, 5.7569, 5.4872 Å; angles 90.00, 90.00, 90.00 degrees
Fractional coordinates of all 5 atoms:
K  0.5000  0.5000  0.5000
Na  0.0000  0.0000  0.0000
Sb  0.0000  0.0000  0.5000
Te  0.0000  0.5000  0.0000
Te  0.5000  0.0000  0.0000

=====

A geometry-optimized KNaSbTe3 structure, computed with GGA-PBE.

Energy relative to the elements, uncorrected in eV per atom: -0.494
Volume in Å³ per cell: 432
Total energy in eV per cell: -37.9
Space-group type: P2_1/m (11)

Cell lengths 4.9023, 8.9345, 9.9413 Å; angles 96.85, 90.00, 90.00 degrees
Fractional coordinates of all 12 atoms:
Te  0.2500  0.7686  0.4270
Te  0.7500  0.2314  0.5730
Te  0.7500  0.5009  0.1626
Te  0.2500  0.4991  0.8374
Te  0.7500  0.8966  0.0212
Te  0.2500  0.1034  0.9788
K  0.7500  0.6503  0.6365
K  0.2500  0.3497  0.3635
Sb  0.7500  0.3125  0.8819
Sb  0.2500  0.6875  0.1181
Na  0.7500  0.9448  0.3492
Na  0.2500  0.0552  0.6508

=====

A geometry-optimized KNaSbTe2 structure, computed with GGA-PBE.

Energy relative to the elements, uncorrected in eV per atom: 0.492
Volume in Å³ per cell: 225
Total energy in eV per cell: -10.4
Space-group type: P4/mmm (123)

Cell lengths 6.1503, 6.1503, 5.9380 Å; angles 90.00, 90.00, 90.00 degrees
Site moments in Bohr magnetons follow the coordinates.
Fractional coordinates of all 5 atoms:
Te  0.5000  0.0000  0.0000  0.04
Te  0.0000  0.5000  0.0000  0.04
Sb  0.0000  0.0000  0.5000  0.17
Na  0.5000  0.5000  0.5000  0.00
K  0.0000  0.0000  0.0000  0.02